# BaSiAg3

BaSiAg3 at its PBEsol-relaxed geometry (SCAN, Alexandria via LeMat-Bulk).

Uncorrected formation energy = 1.6183 eV/atom
Uncorrected energy = -27.115 eV per atom
Space-group type = No. 221
D(E_F) = 3.04 states/eV/f.u.
Relative energy among the computed polymorphs = 1.7178 eV per atom

a = 5.655 Å, b = 5.655 Å, c = 5.655 Å
α = 90.00°, β = 90.00°, γ = 90.00°
Sites, in units of the cell vectors:
Ba  0.000  0.000  0.000
Si  0.500  0.500  0.500
Ag  0.000  0.000  0.500
Ag  0.000  0.500  0.000
Ag  0.500  0.000  0.000